1.
{"formula": "Ta2TcCl", "functional": "PBE", "state": "optimized geometry", "dft_energy_ev_per_atom": -8.40, "n_ef_per_ev_cell": 3.909, "crystal_system": "orthorhombic", "cell": [[3.087, 0.000, 0.000], [0.000, 4.926, 0.000], [0.000, 0.000, 4.406]], "species": ["Ta", "Ta", "Tc", "Cl"], "frac_coords": [[0.500, 0.500, 0.000], [0.000, 0.000, 0.000], [0.500, 0.000, 0.500], [0.000, 0.500, 0.500]]}



2.
{"formula": "TaTc2Cl", "functional": "PBE", "state": "optimized geometry", "dft_energy_ev_per_atom": -8.22, "n_ef_per_ev_cell": 3.695, "crystal_system": "monoclinic", "cell": [[-3.456, 1.336, 2.139], [0.697, -1.764, 2.228], [3.193, 2.449, 3.629]], "species": ["Tc", "Tc", "Ta", "Cl"], "frac_coords": [[0.000, 0.174, 0.006], [0.000, 0.326, 0.494], [0.500, 0.750, 0.750], [0.500, 0.250, 0.250]]}



3.
{"formula": "TaTcCl2", "functional": "PBE", "state": "optimized geometry", "dft_energy_ev_per_atom": -6.08, "n_ef_per_ev_cell": 2.670, "crystal_system": "monoclinic", "cell": [[-3.439, -2.211, -1.549], [0.080, -2.050, 2.749], [-2.806, 2.857, 2.154]], "species": ["Tc", "Cl", "Cl", "Ta"], "frac_coords": [[0.500, 0.750, 0.750], [0.000, 0.004, 0.998], [0.000, 0.496, 0.502], [0.500, 0.250, 0.250]]}



4.
{"formula": "TaTc2Cl", "functional": "PBE", "state": "optimized geometry", "dft_energy_ev_per_atom": -8.52, "n_ef_per_ev_cell": 5.525, "crystal_system": "trigonal", "cell": [[9.269, 0.026, 0.015], [8.809, 2.887, 0.015], [8.809, 1.419, 2.514]], "species": ["Tc", "Tc", "Ta", "Cl"], "frac_coords": [[0.998, 0.998, 0.998], [0.259, 0.259, 0.259], [0.753, 0.753, 0.753], [0.490, 0.490, 0.490]]}



5.
{"formula": "TaTc2Cl", "functional": "PBE", "state": "optimized geometry", "dft_energy_ev_per_atom": -8.22, "n_ef_per_ev_cell": 3.706, "crystal_system": "orthorhombic", "cell": [[5.300, -0.001, 0.001], [2.571, 4.634, -0.001], [-3.372, -3.272, 2.450]], "species": ["Tc", "Tc", "Ta", "Cl"], "frac_coords": [[0.478, 0.478, 0.000], [0.022, 0.022, 0.000], [0.750, 0.250, 0.500], [0.250, 0.750, 0.500]]}



6.
{"formula": "TaTcCl2", "functional": "PBE", "state": "optimized geometry", "dft_energy_ev_per_atom": -6.47, "n_ef_per_ev_cell": 1.681, "crystal_system": "orthorhombic", "cell": [[-3.338, -2.656, -6.503], [-6.668, -3.223, -2.375], [4.565, 5.333, 3.348]], "species": ["Ta", "Cl", "Cl", "Tc"], "frac_coords": [[0.750, 0.250, 0.500], [0.611, 0.611, 0.000], [0.889, 0.889, 0.000], [0.250, 0.750, 0.500]]}



Magnetic moment
In order: 0.000, 0.000, 0.000, 0.000, 0.000, 1.495
Unit: μB per cell